(1)
Compound: TlPd4
Source: Alexandria
Functional: PBE-GGA
Structure: optimized geometry

Geometry as POSCAR:
```
TlPd4
1.0
5.0057 0.0000 0.0000
0.0000 5.0057 0.0000
0.0000 0.0000 5.0057
Tl Pd
1 4
Direct
0.5000 0.5000 0.5000
0.0000 0.0000 0.0000
0.5000 0.0000 0.5000
0.0000 0.5000 0.5000
0.5000 0.5000 0.0000
```

Polymorph energy (0 for the lowest one) ... 112.93 kJ/mol of atoms
Energy relative to the elements ... 1.07 eV per atom


(2)
Compound: K3Zr3NiTe8
Source: Alexandria
Functional: PBE-GGA
Structure: optimized geometry

Geometry as POSCAR:
```
K3Zr3NiTe8
1.0
-0.4996 5.5307 6.1251
5.4080 -6.2402 0.5009
2.4366 7.1094 -6.2192
K Zr Ni Te
3 3 1 8
Direct
0.0000 0.0000 0.0000
0.0000 0.5000 0.0000
0.5000 0.5000 0.0000
0.5000 0.0000 0.5000
0.5000 0.5000 0.5000
0.0000 0.5000 0.5000
0.0000 0.0000 0.5000
0.2652 0.5303 0.2955
0.7348 0.4697 0.7045
0.7789 0.5577 0.3126
0.2211 0.4423 0.6874
0.7791 0.0336 0.3129
0.2209 0.9664 0.6871
0.2543 0.0336 0.3130
0.7457 0.9664 0.6870
```

E_form (uncorrected) ... -797.9 meV/atom


(3)
Compound: SrSeF2
Source: Alexandria
Functional: PBE-GGA
Structure: optimized geometry

Geometry as POSCAR:
```
SrSeF2
1.0
7.1307 0.2272 4.7919
6.3324 -3.5217 4.6216
8.2154 -1.8285 1.7393
Sr Se F
1 1 2
Direct
0.5000 0.5000 0.5000
0.0000 0.0000 0.0000
0.8735 0.8735 0.8735
0.1265 0.1265 0.1265
```

Polymorph energy (0 for the lowest one) ... 0.00 kJ/mol of atoms
E_form (uncorrected) ... -2327.3 meV/atom


(4)
Compound: EuYH2
Source: Alexandria
Functional: PBE-GGA
Structure: optimized geometry

Geometry as POSCAR:
```
EuYH2
1.0
3.5761 0.0000 0.0000
1.7880 3.0970 0.0000
1.7880 1.0323 5.9165
Eu Y H
1 1 2
Direct
0.5000 0.5000 0.5000
0.0000 0.0000 0.0000
0.7327 0.7327 0.8020
0.2673 0.2673 0.1980
```


(5)
Compound: HfBi
Source: Alexandria
Functional: PBE-GGA
Structure: optimized geometry

Geometry as POSCAR:
```
HfBi
1.0
-3.9782 2.6549 -6.6824
-2.0740 -7.7360 -1.8388
-6.8849 0.7963 4.4152
Hf Bi
6 6
Direct
0.2500 0.0000 0.5000
0.7500 0.0000 0.5000
0.0000 0.5000 0.2500
0.0000 0.5000 0.7500
0.5000 0.2500 0.0000
0.5000 0.7500 0.0000
0.2500 0.5000 0.0000
0.7500 0.5000 0.0000
0.5000 0.0000 0.2500
0.5000 0.0000 0.7500
0.0000 0.2500 0.5000
0.0000 0.7500 0.5000
```

Energy relative to the elements ... 0.83 eV per atom


(6)
Compound: Pm2YEr2Tm
Source: Alexandria
Functional: PBE-GGA
Structure: optimized geometry

Geometry as POSCAR:
```
Pm2YEr2Tm
1.0
5.6212 0.0000 0.0000
0.0000 6.9897 0.0000
0.0000 0.0000 9.7459
Pm Y Er Tm
4 2 4 2
Direct
0.5000 0.0077 0.0002
0.0000 0.2579 0.1744
0.5000 0.5077 0.9998
0.0000 0.7579 0.8256
0.0000 0.0074 0.4998
0.0000 0.5074 0.5002
0.0000 0.2578 0.8366
0.5000 0.2574 0.3320
0.0000 0.7578 0.1634
0.5000 0.7574 0.6680
0.5000 0.2573 0.6611
0.5000 0.7573 0.3389
```

Energy relative to the elements ... 0.07 eV per atom


(7)
Compound: Ac2In8Rh
Source: Alexandria
Functional: PBE-GGA
Structure: optimized geometry

Geometry as POSCAR:
```
Ac2In8Rh
1.0
-0.6448 4.7881 -0.2124
-1.8946 -0.4515 -4.4265
-11.6598 -1.3426 5.1275
Ac In Rh
2 8 1
Direct
0.0000 0.0000 0.3037
0.0000 0.0000 0.6963
0.0000 0.5000 0.5000
0.5000 0.0000 0.5000
0.5000 0.5000 0.3061
0.5000 0.5000 0.6939
0.0000 0.5000 0.1143
0.5000 0.0000 0.1143
0.0000 0.5000 0.8857
0.5000 0.0000 0.8857
0.0000 0.0000 0.0000
```

Energy relative to the elements ... -0.40 eV per atom


(8)
Compound: Tl3Br5Cl
Source: Alexandria
Functional: PBE-GGA
Structure: optimized geometry

Geometry as POSCAR:
```
Tl3Br5Cl
1.0
-7.0980 -1.5717 -0.3689
1.3141 -6.4696 -3.0668
0.3881 -5.7386 11.6282
Tl Br Cl
6 10 2
Direct
0.5387 0.5387 0.8330
0.9907 0.9907 0.3307
0.0000 0.0000 0.0000
0.5000 0.5000 0.5000
0.4613 0.4613 0.1670
0.0093 0.0093 0.6693
0.2757 0.7431 0.3309
0.2663 0.7337 0.0000
0.8120 0.8120 0.1682
0.8170 0.8170 0.5043
0.1830 0.1830 0.4957
0.1880 0.1880 0.8318
0.7431 0.2757 0.3309
0.7337 0.2663 0.0000
0.7243 0.2569 0.6691
0.2569 0.7243 0.6691
0.8333 0.8333 0.8371
0.1667 0.1667 0.1629
```

E_form (uncorrected) ... -601.1 meV/atom


no.,total energy (eV per atom)
1,-3.562
2,-4.788
3,-4.555
4,-6.211
5,-6.087
6,-4.860
7,-3.802
8,-2.524